Entry one
VASP calculation (PBE) on a geometry-optimized Pr6Sm2Er structure.

a = 8.341 Å, b = 8.341 Å, c = 10.617 Å
α = 90.00°, β = 90.00°, γ = 90.00°
Fractional coordinates of all 18 atoms:
Pr (0.238, 0.238, 0.167)
Pr (0.238, 0.238, 0.833)
Pr (0.239, 0.239, 0.500)
Pr (0.261, 0.739, 0.000)
Pr (0.262, 0.738, 0.333)
Pr (0.262, 0.738, 0.667)
Pr (0.738, 0.262, 0.333)
Pr (0.738, 0.262, 0.667)
Pr (0.739, 0.261, 0.000)
Pr (0.761, 0.761, 0.500)
Pr (0.762, 0.762, 0.167)
Pr (0.762, 0.762, 0.833)
Sm (0.000, 0.000, 0.331)
Sm (0.000, 0.000, 0.669)
Sm (0.500, 0.500, 0.169)
Sm (0.500, 0.500, 0.831)
Er (0.000, 0.000, 0.000)
Er (0.500, 0.500, 0.500)

Entry two
VASP calculation (PBE) on a geometry-optimized Pr6Sm2Er structure.

a = 10.198 Å, b = 10.198 Å, c = 3.688 Å
α = 90.00°, β = 90.00°, γ = 124.09°
Fractional coordinates of all 9 atoms:
Pr (0.010, 0.340, 0.000)
Pr (0.185, 0.185, 0.500)
Pr (0.340, 0.010, 0.000)
Pr (0.660, 0.990, 0.000)
Pr (0.815, 0.815, 0.500)
Pr (0.990, 0.660, 0.000)
Sm (0.326, 0.674, 0.500)
Sm (0.674, 0.326, 0.500)
Er (0.500, 0.500, 0.000)

Energy above the most stable structure, in meV/atom: entry one 457; entry two 0

Entry one
VASP calculation (PBE) on a geometry-optimized Pr2Sm5Er12 structure.

a = 6.163 Å, b = 9.439 Å, c = 10.662 Å
α = 101.04°, β = 95.53°, γ = 90.11°
Fractional coordinates of all 19 atoms:
Pr (0.080, 0.316, 0.474)
Pr (0.920, 0.684, 0.526)
Sm (0.238, 0.947, 0.420)
Sm (0.342, 0.368, 0.052)
Sm (0.500, 0.000, 0.000)
Sm (0.658, 0.632, 0.948)
Sm (0.762, 0.053, 0.580)
Er (0.026, 0.105, 0.156)
Er (0.132, 0.526, 0.791)
Er (0.184, 0.737, 0.104)
Er (0.289, 0.158, 0.739)
Er (0.396, 0.579, 0.367)
Er (0.446, 0.789, 0.685)
Er (0.554, 0.211, 0.315)
Er (0.604, 0.421, 0.633)
Er (0.711, 0.842, 0.261)
Er (0.816, 0.263, 0.896)
Er (0.868, 0.474, 0.209)
Er (0.974, 0.895, 0.844)

Entry two
VASP calculation (PBE) on a geometry-optimized Pr2Sm5Er12 structure.

a = 9.084 Å, b = 9.084 Å, c = 8.594 Å
α = 91.63°, β = 91.63°, γ = 61.40°
Fractional coordinates of all 19 atoms:
Pr (0.180, 0.820, 0.000)
Pr (0.820, 0.180, 0.000)
Sm (0.203, 0.203, 0.014)
Sm (0.269, 0.269, 0.426)
Sm (0.500, 0.500, 0.500)
Sm (0.731, 0.731, 0.574)
Sm (0.797, 0.797, 0.986)
Er (0.057, 0.057, 0.333)
Er (0.061, 0.682, 0.342)
Er (0.170, 0.527, 0.757)
Er (0.318, 0.939, 0.658)
Er (0.417, 0.417, 0.122)
Er (0.473, 0.830, 0.243)
Er (0.527, 0.170, 0.757)
Er (0.583, 0.583, 0.878)
Er (0.682, 0.061, 0.342)
Er (0.830, 0.473, 0.243)
Er (0.939, 0.318, 0.658)
Er (0.943, 0.943, 0.667)

Energy above the most stable structure, in meV/atom: entry one 0; entry two 110

Entry one
VASP calculation (PBE) on a geometry-optimized Pr2Sm3Er2 structure.

a = 3.628 Å, b = 6.235 Å, c = 10.852 Å
α = 95.37°, β = 90.04°, γ = 106.79°
Fractional coordinates of all 7 atoms:
Pr (0.216, 0.432, 0.355)
Pr (0.784, 0.568, 0.645)
Sm (0.357, 0.717, 0.931)
Sm (0.500, 0.000, 0.500)
Sm (0.643, 0.283, 0.069)
Er (0.070, 0.140, 0.788)
Er (0.930, 0.860, 0.212)

Entry two
VASP calculation (PBE) on a geometry-optimized Pr2Sm3Er2 structure.

a = 17.753 Å, b = 3.541 Å, c = 8.647 Å
α = 90.00°, β = 119.07°, γ = 90.00°
Fractional coordinates of all 14 atoms:
Pr (0.066, 0.000, 0.219)
Pr (0.434, 0.500, 0.781)
Pr (0.566, 0.500, 0.219)
Pr (0.934, 0.000, 0.781)
Sm (0.000, 0.500, 0.500)
Sm (0.212, 0.500, 0.628)
Sm (0.288, 0.000, 0.372)
Sm (0.500, 0.000, 0.500)
Sm (0.712, 0.000, 0.628)
Sm (0.788, 0.500, 0.372)
Er (0.150, 0.500, 0.964)
Er (0.350, 0.000, 0.036)
Er (0.650, 0.000, 0.964)
Er (0.850, 0.500, 0.036)

Energy above the most stable structure, in meV/atom: entry one 0; entry two 104

Entry one
VASP calculation (PBE) on a geometry-optimized TbPrSmEr structure.

a = 5.107 Å, b = 5.107 Å, c = 10.145 Å
α = 90.00°, β = 90.00°, γ = 90.00°
Fractional coordinates of all 8 atoms:
Tb (0.000, 0.000, 0.000)
Tb (0.500, 0.500, 0.500)
Pr (0.000, 0.000, 0.500)
Pr (0.500, 0.500, 0.000)
Sm (0.000, 0.500, 0.250)
Sm (0.500, 0.000, 0.750)
Er (0.000, 0.500, 0.750)
Er (0.500, 0.000, 0.250)

Entry two
VASP calculation (PBE) on a geometry-optimized TbPrSmEr structure.

a = 8.108 Å, b = 8.108 Å, c = 8.108 Å
α = 90.00°, β = 90.00°, γ = 90.00°
Fractional coordinates of all 16 atoms:
Tb (0.000, 0.000, 0.000)
Tb (0.000, 0.500, 0.500)
Tb (0.500, 0.000, 0.500)
Tb (0.500, 0.500, 0.000)
Pr (0.250, 0.250, 0.250)
Pr (0.250, 0.750, 0.750)
Pr (0.750, 0.250, 0.750)
Pr (0.750, 0.750, 0.250)
Sm (0.250, 0.250, 0.750)
Sm (0.250, 0.750, 0.250)
Sm (0.750, 0.250, 0.250)
Sm (0.750, 0.750, 0.750)
Er (0.000, 0.000, 0.500)
Er (0.000, 0.500, 0.000)
Er (0.500, 0.000, 0.000)
Er (0.500, 0.500, 0.500)

Energy above the most stable structure, in meV/atom: entry one 0; entry two 99